Crystalline FeBrN2F at its relaxed geometry, computed with GGA+U.

For the polymorph energy (0 for the lowest one), the calculation gives 0.0 kJ/mol of formula units. The magnetic moment comes out at 0.5 μB per formula unit. The total energy comes out at -4.026 eV/atom. As for the volume: 58 Å³ per cell. The density of states at the Fermi level is 2.807 states/eV per cell.

It has space group P4/mmm (No. 123), with a = 3.897 Å, b = 3.897 Å, c = 3.842 Å, α = 90.00°, β = 90.00° and γ = 90.00°. The inequivalent atoms are Fe at (0.000, 0.000, 0.000), Br at (0.500, 0.500, 0.500), N at (0.000, 0.500, 0.000) and F at (0.000, 0.000, 0.500).